# ReTc2Pt GGA-PBE optimized geometry
data_ReTc2Pt
_symmetry_space_group_name_H-M 'C m m m'
_symmetry_Int_Tables_number 65
_symmetry_space_group_name_Hall '-C 2 2'
_cell_length_a 5.525
_cell_length_b 7.805
_cell_length_c 2.752
_cell_angle_alpha 90.00
_cell_angle_beta 90.00
_cell_angle_gamma 90.00
loop_
_atom_site_label
_atom_site_fract_x
_atom_site_fract_y
_atom_site_fract_z
_atom_site_occupancy
Re1 0.000 0.000 0.000 1
Tc1 0.250 0.250 0.500 1
Pt1 0.000 0.500 0.000 1
# E above lowest polymorph ... 66 meV/atom
# V ... 14.83 A^3/atom
# Energy relative to the elements ... -3.6 kJ per mole of atoms
# Fermi-level density of states ... 1.3073 states/eV per atom
# Total magnetic moment ... 0.000 Bohr magnetons per cell

# RbSm2Ru GGA-PBE optimized geometry
data_RbSm2Ru
_symmetry_space_group_name_H-M 'R -3 m'
_symmetry_Int_Tables_number 166
_symmetry_space_group_name_Hall '-R 3 2"'
_cell_length_a 4.1350
_cell_length_b 4.1350
_cell_length_c 33.7101
_cell_angle_alpha 90.00
_cell_angle_beta 90.00
_cell_angle_gamma 120.00
loop_
_atom_site_label
_atom_site_fract_x
_atom_site_fract_y
_atom_site_fract_z
_atom_site_occupancy
Rb1 0.0000 0.0000 0.0000 1
Sm1 0.0000 0.0000 0.1239 1
Ru1 0.0000 0.0000 0.5000 1
# V ... 41.60 A^3/atom
# Energy relative to the elements ... 3.8 kJ per mole of atoms
# Fermi-level density of states ... 0.7817 states/eV per atom
# Total magnetic moment ... 0.000 Bohr magnetons per cell

# ErMn3Fe3 GGA-PBE optimized geometry
data_ErMn3Fe3
_symmetry_space_group_name_H-M 'P m -3 n'
_symmetry_Int_Tables_number 223
_symmetry_space_group_name_Hall '-P 4n 2 3'
_cell_length_a 6.041
_cell_length_b 6.041
_cell_length_c 6.041
_cell_angle_alpha 90.00
_cell_angle_beta 90.00
_cell_angle_gamma 90.00
loop_
_atom_site_label
_atom_site_fract_x
_atom_site_fract_y
_atom_site_fract_z
_atom_site_occupancy
Er1 0.000 0.000 0.000 1
Mn1 0.000 0.250 0.500 1
Fe1 0.000 0.500 0.250 1
# V ... 15.75 A^3/atom
# Energy relative to the elements ... 58.7 kJ per mole of atoms
# Fermi-level density of states ... 1.5672 states/eV per atom
# Total magnetic moment ... 2.353 Bohr magnetons per cell

# Pa2MnCo3B12 GGA-PBE optimized geometry
data_Pa2MnCo3B12
_symmetry_space_group_name_H-M 'R -3 m'
_symmetry_Int_Tables_number 166
_symmetry_space_group_name_Hall '-R 3 2"'
_cell_length_a 5.3823
_cell_length_b 5.3823
_cell_length_c 21.9447
_cell_angle_alpha 90.00
_cell_angle_beta 90.00
_cell_angle_gamma 120.00
loop_
_atom_site_label
_atom_site_fract_x
_atom_site_fract_y
_atom_site_fract_z
_atom_site_occupancy
Pa1 0.0000 0.0000 0.1409 1
Mn1 0.0000 0.0000 0.5000 1
Co1 0.0000 0.5000 0.0000 1
B1 0.0816 0.5408 0.0941 1
B2 0.1073 0.2146 0.7377 1
# V ... 10.20 A^3/atom
# Energy relative to the elements ... -2.1 kJ per mole of atoms
# Fermi-level density of states ... 0.6644 states/eV per atom
# Total magnetic moment ... 0.806 Bohr magnetons per cell

# Na2Tl2Cd3 GGA-PBE optimized geometry
data_Na2Tl2Cd3
_symmetry_space_group_name_H-M 'C 1 2/m 1'
_symmetry_Int_Tables_number 12
_symmetry_space_group_name_Hall '-C 2y'
_cell_length_a 23.447
_cell_length_b 3.287
_cell_length_c 4.929
_cell_angle_alpha 90.00
_cell_angle_beta 102.03
_cell_angle_gamma 90.00
loop_
_atom_site_label
_atom_site_fract_x
_atom_site_fract_y
_atom_site_fract_z
_atom_site_occupancy
Na1 0.141 0.000 0.138 1
Tl1 0.079 0.500 0.576 1
Cd1 0.000 0.500 0.000 1
Cd2 0.220 0.500 0.719 1
# E above lowest polymorph ... 0 meV/atom
# V ... 26.54 A^3/atom
# Energy relative to the elements ... -4.6 kJ per mole of atoms
# Fermi-level density of states ... 0.3972 states/eV per atom
# Total magnetic moment ... 0.000 Bohr magnetons per cell

# NbRhN GGA-PBE optimized geometry
data_NbRhN
_symmetry_space_group_name_H-M 'A m m 2'
_symmetry_Int_Tables_number 38
_symmetry_space_group_name_Hall 'A 2 -2'
_cell_length_a 2.938
_cell_length_b 9.609
_cell_length_c 5.673
_cell_angle_alpha 90.00
_cell_angle_beta 90.00
_cell_angle_gamma 90.00
loop_
_atom_site_label
_atom_site_fract_x
_atom_site_fract_y
_atom_site_fract_z
_atom_site_occupancy
Nb1 0.000 0.195 0.000 1
Rh1 0.500 0.000 0.296 1
Rh2 0.500 0.000 0.770 1
N1 0.500 0.214 0.272 1
# V ... 13.35 A^3/atom
# Fermi-level density of states ... 0.4352 states/eV per atom
# Total magnetic moment ... 0.000 Bohr magnetons per cell
# DFT total energy ... -9.159 eV per atom

# HgP2Os GGA-PBE optimized geometry
data_HgP2Os
_symmetry_space_group_name_H-M 'P 4/m m m'
_symmetry_Int_Tables_number 123
_symmetry_space_group_name_Hall '-P 4 2'
_cell_length_a 4.473
_cell_length_b 4.473
_cell_length_c 3.184
_cell_angle_alpha 90.00
_cell_angle_beta 90.00
_cell_angle_gamma 90.00
loop_
_atom_site_label
_atom_site_fract_x
_atom_site_fract_y
_atom_site_fract_z
_atom_site_occupancy
Hg1 0.000 0.000 0.000 1
P1 0.000 0.500 0.500 1
Os1 0.500 0.500 0.000 1
# V ... 15.93 A^3/atom
# Energy relative to the elements ... 87.4 kJ per mole of atoms
# Fermi-level density of states ... 0.7926 states/eV per atom
# Total magnetic moment ... 0.000 Bohr magnetons per cell

# NaSr2As3Pt4 GGA-PBE optimized geometry
data_NaSr2As3Pt4
_symmetry_space_group_name_H-M 'P -4 m 2'
_symmetry_Int_Tables_number 115
_symmetry_space_group_name_Hall 'P -4 -2'
_cell_length_a 4.419
_cell_length_b 4.419
_cell_length_c 10.645
_cell_angle_alpha 90.00
_cell_angle_beta 90.00
_cell_angle_gamma 90.00
loop_
_atom_site_label
_atom_site_fract_x
_atom_site_fract_y
_atom_site_fract_z
_atom_site_occupancy
Na1 0.000 0.000 0.000 1
Sr1 0.000 0.500 0.745 1
As1 0.000 0.500 0.374 1
As2 0.500 0.500 0.000 1
Pt1 0.000 0.000 0.500 1
Pt2 0.000 0.500 0.145 1
Pt3 0.500 0.500 0.500 1
# V ... 20.78 A^3/atom
# Energy relative to the elements ... -68.8 kJ per mole of atoms
# Fermi-level density of states ... 0.4616 states/eV per atom
# Total magnetic moment ... 0.000 Bohr magnetons per cell

# CsPS3Cl GGA-PBE optimized geometry
data_CsPS3Cl
_symmetry_space_group_name_H-M 'C 1 2/c 1'
_symmetry_Int_Tables_number 15
_symmetry_space_group_name_Hall '-C 2yc'
_cell_length_a 10.295
_cell_length_b 13.859
_cell_length_c 6.142
_cell_angle_alpha 90.00
_cell_angle_beta 113.41
_cell_angle_gamma 90.00
loop_
_atom_site_label
_atom_site_fract_x
_atom_site_fract_y
_atom_site_fract_z
_atom_site_occupancy
Cs1 0.000 0.153 0.250 1
P1 0.000 0.467 0.750 1
S1 0.000 0.321 0.750 1
S2 0.149 0.459 0.161 1
Cl1 0.000 0.092 0.750 1
# V ... 33.51 A^3/atom
# Fermi-level density of states ... 0.0998 states/eV per atom
# Total magnetic moment ... 4.165 Bohr magnetons per cell
# DFT total energy ... -3.913 eV per atom

# YMg2Ru2 GGA-PBE optimized geometry
data_YMg2Ru2
_symmetry_space_group_name_H-M 'P 4/m b m'
_symmetry_Int_Tables_number 127
_symmetry_space_group_name_Hall '-P 4 2ab'
_cell_length_a 7.456
_cell_length_b 7.456
_cell_length_c 3.250
_cell_angle_alpha 90.00
_cell_angle_beta 90.00
_cell_angle_gamma 90.00
loop_
_atom_site_label
_atom_site_fract_x
_atom_site_fract_y
_atom_site_fract_z
_atom_site_occupancy
Y1 0.000 0.000 0.000 1
Mg1 0.125 0.375 0.000 1
Ru1 0.171 0.671 0.500 1
# E above lowest polymorph ... 36 meV/atom
# V ... 18.07 A^3/atom
# Energy relative to the elements ... 7.3 kJ per mole of atoms
# Fermi-level density of states ... 1.2277 states/eV per atom
# Total magnetic moment ... 1.279 Bohr magnetons per cell